Record 1
TlAsS2 | GGA-PBE | optimized geometry

POSCAR file:
```
TlAsS2
1.0
-1.852 -3.185 -0.854
0.938 -3.246 1.698
-5.340 -0.701 5.821
Tl As S
1 1 2
Direct
0.492 0.492 0.523 Tl
0.667 0.667 0.998 As
0.274 0.274 0.177 S
0.066 0.066 0.802 S
```

Values from the calculation:
- Formation energy without anion corrections: -0.7 eV/f.u.


Record 2
RbCl3F | GGA-PBE | optimized geometry

POSCAR file:
```
RbCl3F
1.0
6.520 0.000 0.000
0.000 6.520 0.000
0.000 0.000 6.520
Rb Cl F
1 3 1
Direct
0.000 0.000 0.000 Rb
0.000 0.000 0.500 Cl
0.500 0.000 0.000 Cl
0.000 0.500 0.000 Cl
0.500 0.500 0.500 F
```

Values from the calculation:
- Formation energy without anion corrections: -0.2 eV/f.u.
- DOS at the Fermi energy: 6.1135 states/eV/atom
- Offset from the most stable computed form: 501 meV/atom


Record 3
TcGe2Ir | GGA-PBE | optimized geometry

POSCAR file:
```
TcGe2Ir
1.0
-0.363 -3.898 0.272
1.176 -2.291 -2.960
4.755 -2.341 1.101
Ge Tc Ir
2 1 1
Direct
0.256 0.256 0.233 Ge
0.079 0.079 0.762 Ge
0.490 0.490 0.529 Tc
0.675 0.675 0.976 Ir
```

Values from the calculation:
- DOS at the Fermi energy: 0.7771 states/eV/atom
- Offset from the most stable computed form: 154 meV/atom


| no. | V (A^3/atom) |
| --- | --- |
| 1 | 23.60 |
| 2 | 55.43 |
| 3 | 16.39 |